[1]
Crystalline Sr3CBr at its relaxed geometry, computed with GGA-PBE.

Output
E above lowest polymorph in eV/f.u.: 0.00
Size of the total moment in μB/f.u.: 0.0
Formation energy (no corrections) in eV/atom: -0.175

Cell lengths 5.4984, 5.4984, 5.4984 Å; angles 90.00, 90.00, 90.00 degrees
Space group Pm-3m (No. 221)
Unique sites:
Sr1 0.0000 0.0000 0.5000 (multiplicity 3)
C1 0.0000 0.0000 0.0000 (multiplicity 1)
Br1 0.5000 0.5000 0.5000 (multiplicity 1)


[2]
Crystalline Sr2CBr at its relaxed geometry, computed with GGA-PBE.

Output
Size of the total moment in μB/f.u.: 1.0
Formation energy (no corrections) in eV/atom: -0.253

Cell lengths 7.3565, 7.3565, 9.3578 Å; angles 90.00, 90.00, 90.00 degrees
Space group I-42d (No. 122)
Unique sites:
Sr1 0.1800 0.2500 0.1250 (multiplicity 8)
C1 0.0000 0.0000 0.0000 (multiplicity 4)
Br1 0.0000 0.0000 0.5000 (multiplicity 4)


[3]
Crystalline Sr2CBr at its relaxed geometry, computed with GGA-PBE.

Output
Size of the total moment in μB/f.u.: 1.0
Formation energy (no corrections) in eV/atom: 0.055

Cell lengths 7.3040, 7.3040, 7.3040 Å; angles 90.00, 90.00, 90.00 degrees
Space group Fm-3m (No. 225)
Unique sites:
Sr1 0.2500 0.2500 0.2500 (multiplicity 8)
C1 0.0000 0.0000 0.0000 (multiplicity 4)
Br1 0.0000 0.0000 0.5000 (multiplicity 4)